i.
VASP calculation (PBE) on ScCrNiHg2 after structural relaxation.

Lattice parameters (Å, degrees): 5.0804 5.0804 4.5956 90.00 90.00 90.00
Closest atoms and distances in Å follow each position.
Space group P4/mmm (No. 123)
One atom of each set of equivalent atoms:
Sc1 0.0000 0.0000 0.0000 [1 per cell]  2 Cr 2.30
Cr1 0.0000 0.0000 0.5000 [1 per cell]  2 Sc 2.30, 4 Hg 2.54
Ni1 0.5000 0.5000 0.0000 [1 per cell]  8 Hg 3.43, 4 Sc 3.59
Hg1 0.0000 0.5000 0.5000 [2 per cell]  2 Cr 2.54

The total magnetization comes out at 1.86 μB per formula unit.

***

ii.
VASP calculation (PBE) on ScCrNiHg2 after structural relaxation.

Lattice parameters (Å, degrees): 5.0355 5.0355 4.2098 90.00 90.00 90.00
Closest atoms and distances in Å follow each position.
Space group P4/mmm (No. 123)
One atom of each set of equivalent atoms:
Sc1 0.0000 0.0000 0.0000 [1 per cell]  8 Hg 3.28, 4 Ni 3.56
Cr1 0.5000 0.5000 0.5000 [1 per cell]  2 Ni 2.10
Ni1 0.5000 0.5000 0.0000 [1 per cell]  2 Cr 2.10
Hg1 0.0000 0.5000 0.5000 [2 per cell]  2 Cr 2.52

The total magnetization comes out at 0.00 μB per formula unit.

***

Quick one: least stable of them? i